Entry 1:
Here is a geometry-optimized Sc2Ni2SbAs structure from OQMD via LeMat-Bulk. Energies are from PBE.

abc: 8.3232 4.1749 12.9301
angles: 90.00 108.76 90.00
Last column: nearest neighbours and their distance in Å.
Element x y z (fractional)
Sc: 0.0000 0.0000 0.0000  5 Ni 2.51-2.76
Sc: 0.0898 0.5000 0.7467  3 Ni 2.61-2.67, 3 As 2.78-2.82
Sc: 0.2456 0.0000 0.5043  2 Ni 2.64, 1 Sb 2.95, 4 As 2.95
Sc: 0.3794 0.5000 0.2966  5 Ni 2.58-2.88, 1 As 2.76
Sc: 0.4792 0.0000 0.0001  6 Ni 2.53-2.77
Sc: 0.6401 0.5000 0.7468  3 Ni 2.63-2.66, 3 As 2.76-2.81
Sc: 0.7631 0.0000 0.5396  2 Ni 2.63, 1 As 2.79
Sc: 0.8948 0.5000 0.2919  3 Ni 2.57-2.73, 1 As 2.80
Ni: 0.0721 0.5000 0.1285  1 As 2.46, 2 Sc 2.62, 3 Sb 2.66-2.67
Ni: 0.1747 0.0000 0.8738  3 As 2.44-2.62, 4 Sc 2.51-2.61, 1 Sb 2.57
Ni: 0.3102 0.5000 0.6358  2 As 2.50-2.51, 2 Sb 2.55, 4 Sc 2.64-2.67
Ni: 0.3218 0.0000 0.1503  2 Sb 2.55, 4 Sc 2.67-2.76, 2 As 2.75, 2 Ni 2.82
Ni: 0.5355 0.5000 0.1274  1 As 2.45, 2 Sc 2.61, 1 Sb 2.65
Ni: 0.6823 0.0000 0.8772  1 As 2.45, 3 Sb 2.57-2.65, 4 Sc 2.61-2.67
Ni: 0.6970 0.5000 0.4091  2 As 2.50, 4 Sc 2.57-2.63, 2 Sb 2.64
Ni: 0.8039 0.0000 0.1485  4 Sb 2.54-2.69, 3 Sc 2.73-2.77
Sb: 0.1214 0.0000 0.2635  4 Ni 2.55-2.67
Sb: 0.3697 0.0000 0.7548  4 Ni 2.55-2.57
Sb: 0.6280 0.0000 0.2770  6 Ni 2.54-2.78
Sb: 0.7445 0.5000 0.0103  6 Ni 2.65-2.69
As: 0.0039 0.5000 0.5202  2 Ni 2.50-2.51, 1 Sc 2.78
As: 0.2417 0.5000 0.0037  4 Ni 2.45-2.62
As: 0.5033 0.5000 0.5221  2 Ni 2.50, 2 Sc 2.76
As: 0.8738 0.0000 0.7672  2 Ni 2.44-2.45

**Energy**: -6.26 eV per atom
**SG**: No. 6
**Calculated volume**: 17.7 Å³ per atom


Entry 2:
Here is a geometry-optimized Y2Ni2SbAs structure from OQMD via LeMat-Bulk. Energies are from PBE.

abc: 10.8075 4.4138 10.8134
angles: 90.00 109.46 90.00
Last column: nearest neighbours and their distance in Å.
Element x y z (fractional)
Y: 0.0000 0.0000 0.0000  4 Ni 2.68-2.69
Y: 0.1162 0.5000 0.3738  4 Ni 2.67-2.80
Y: 0.2403 0.0000 0.7477  4 Ni 2.67-2.80
Y: 0.3747 0.5000 0.1226  4 Ni 2.71-2.73
Y: 0.5059 0.0000 0.4938  4 Ni 2.68-2.78
Y: 0.6317 0.5000 0.8795  4 Ni 2.71-2.75
Y: 0.7542 0.0000 0.2524  4 Ni 2.64-2.69
Y: 0.8783 0.5000 0.6191  4 Ni 2.63-2.74
Ni: 0.1230 0.5000 0.6231  4 Y 2.63-2.67, 3 As 2.70-2.72, 1 Sb 2.73
Ni: 0.2470 0.0000 0.9970  4 Y 2.67-2.71, 2 As 2.69, 2 Sb 2.73-2.74
Ni: 0.3747 0.5000 0.3731  3 Sb 2.70-2.71, 4 Y 2.71-2.80, 1 As 2.74
Ni: 0.4996 0.0000 0.7483  4 Sb 2.69-2.73, 4 Y 2.75-2.80
Ni: 0.6295 0.5000 0.1296  2 As 2.62-2.67, 4 Y 2.69-2.73, 2 Sb 2.74
Ni: 0.7547 0.0000 0.4972  3 As 2.63-2.71, 4 Y 2.64-2.69, 1 Sb 2.72
Ni: 0.8808 0.5000 0.8737  2 As 2.61-2.74, 4 Y 2.69-2.74, 2 Sb 2.72
Ni: 0.9975 0.0000 0.2482  4 Y 2.65-2.69, 3 As 2.69-2.70, 1 Sb 2.71
Sb: 0.2493 0.0000 0.2500  4 Ni 2.70-2.73
Sb: 0.3762 0.5000 0.6240  4 Ni 2.69-2.73
Sb: 0.5006 0.0000 0.9985  4 Ni 2.70-2.74
Sb: 0.7522 0.0000 0.7481  4 Ni 2.72-2.73
As: 0.1225 0.5000 0.8743  4 Ni 2.61-2.72
As: 0.6275 0.5000 0.3714  4 Ni 2.62-2.74
As: 0.8753 0.5000 0.1253  4 Ni 2.67-2.74
As: 0.9980 0.0000 0.4977  4 Ni 2.63-2.70

**Energy**: -6.39 eV per atom
**SG**: No. 6
**Calculated volume**: 20.3 Å³ per atom


Entry 3:
Here is a geometry-optimized Zr3Ni4Sb2As2 structure from OQMD via LeMat-Bulk. Energies are from PBE.

abc: 7.1790 7.1790 7.1790
angles: 130.27 130.27 72.98
Last column: nearest neighbours and their distance in Å.
Element x y z (fractional)
Zr: 0.0000 0.0000 0.0000  4 Ni 2.51
Zr: 0.2500 0.7500 0.5000  4 Ni 2.60, 2 As 2.89
Zr: 0.7500 0.2500 0.5000  4 Ni 2.60, 2 As 2.89
Ni: 0.1218 0.1218 0.4876  3 Zr 2.51-2.60, 2 Sb 2.54-2.66, 2 As 2.56
Ni: 0.3659 0.8782 0.0000  3 Zr 2.51-2.60, 2 Sb 2.54-2.66, 2 As 2.56
Ni: 0.6341 0.6341 0.5124  3 Zr 2.51-2.60, 2 Sb 2.54-2.66, 2 As 2.56
Ni: 0.8782 0.3659 0.0000  3 Zr 2.51-2.60, 2 Sb 2.54-2.66, 2 As 2.56
Sb: 0.2656 0.2656 0.0000  4 Ni 2.54-2.66
Sb: 0.7344 0.7344 0.0000  4 Ni 2.54-2.66
As: 0.0000 0.5000 0.5000  4 Ni 2.56
As: 0.5000 0.0000 0.5000  4 Ni 2.56

**Energy**: -6.61 eV per atom
**SG**: No. 121
**Calculated volume**: 19.1 Å³ per atom


Entry 4:
Here is a geometry-optimized ScNi2As structure from OQMD via LeMat-Bulk. Energies are from PBE.

abc: 4.3033 4.3033 4.3033
angles: 60.00 60.00 60.00
Last column: nearest neighbours and their distance in Å.
Element x y z (fractional)
Sc: 0.0000 0.0000 0.0000  4 As 2.64, 4 Ni 2.64
Ni: 0.2500 0.2500 0.2500  4 Ni 2.64, 4 Sc 2.64
Ni: 0.5000 0.5000 0.5000  4 As 2.64, 4 Ni 2.64
As: 0.7500 0.7500 0.7500  4 Ni 2.64, 4 Sc 2.64

**Energy**: -5.93 eV per atom
**SG**: No. 216
**Calculated volume**: 14.1 Å³ per atom


Entry 5:
Here is a geometry-optimized ScTcNiAs structure from OQMD via LeMat-Bulk. Energies are from PBE.

abc: 4.3502 4.3502 4.3502
angles: 60.00 60.00 60.00
Last column: nearest neighbours and their distance in Å.
Element x y z (fractional)
Sc: 0.0000 0.0000 0.0000  4 Tc 2.66, 4 Ni 2.66
Tc: 0.2500 0.2500 0.2500  4 As 2.66, 4 Sc 2.66
Ni: 0.7500 0.7500 0.7500  4 As 2.66, 4 Sc 2.66
As: 0.5000 0.5000 0.5000  4 Ni 2.66, 4 Tc 2.66

**Energy**: -6.96 eV per atom
**SG**: No. 216
**Excess energy over the best structure of this formula in the dataset**: 0.000 eV per atom
**Calculated volume**: 14.6 Å³ per atom


Entry 6:
Here is a geometry-optimized YScNiAs structure from OQMD via LeMat-Bulk. Energies are from PBE.

abc: 4.7123 4.7123 4.7123
angles: 60.00 60.00 60.00
Last column: nearest neighbours and their distance in Å.
Element x y z (fractional)
Y: 0.0000 0.0000 0.0000  4 Ni 2.89, 4 Sc 2.89
Sc: 0.2500 0.2500 0.2500  4 As 2.89, 4 Y 2.89
Ni: 0.7500 0.7500 0.7500  4 As 2.89, 4 Y 2.89
As: 0.5000 0.5000 0.5000  4 Ni 2.89, 4 Sc 2.89

**Energy**: -5.84 eV per atom
**SG**: No. 216
**Calculated volume**: 18.5 Å³ per atom


Entry 7:
Here is a geometry-optimized YScNi2As2 structure from OQMD via LeMat-Bulk. Energies are from PBE.

abc: 8.4699 4.2168 12.6641
angles: 90.00 109.28 90.00
Last column: nearest neighbours and their distance in Å.
Element x y z (fractional)
Y: 0.0000 0.0000 0.0000  4 Ni 2.60-2.65
Y: 0.1237 0.5000 0.7461  4 Ni 2.61-2.67
Y: 0.2495 0.0000 0.4976  4 Ni 2.63-2.67
Y: 0.5033 0.0000 0.0010  4 Ni 2.61-2.66
Sc: 0.3775 0.5000 0.2511  4 Ni 2.53-2.55
Sc: 0.6274 0.5000 0.7470  4 Ni 2.48-2.55
Sc: 0.7470 0.0000 0.4963  4 Ni 2.54-2.56
Sc: 0.8752 0.5000 0.2503  4 Ni 2.52-2.55
Ni: 0.0691 0.5000 0.1349  4 As 2.52-2.67, 2 Sc 2.53-2.54, 2 Y 2.65
Ni: 0.1895 0.0000 0.8746  4 Y 2.60-2.61, 4 As 2.61-2.69
Ni: 0.3292 0.5000 0.6283  1 Sc 2.48, 3 As 2.55-2.58, 3 Y 2.63-2.64
Ni: 0.4437 0.0000 0.3705  4 As 2.49-2.62, 3 Sc 2.54-2.55, 1 Y 2.65
Ni: 0.5692 0.5000 0.1348  2 Sc 2.52-2.53, 4 As 2.53-2.66, 2 Y 2.65
Ni: 0.6853 0.0000 0.8654  4 As 2.50-2.65, 2 Sc 2.54, 2 Y 2.65-2.66
Ni: 0.8026 0.5000 0.6171  4 As 2.48-2.59, 3 Sc 2.55-2.56, 1 Y 2.67
Ni: 0.9281 0.0000 0.3705  4 As 2.49-2.61, 3 Sc 2.55, 1 Y 2.67
As: 0.1261 0.0000 0.2506  4 Ni 2.52-2.62
As: 0.2531 0.5000 0.0039  4 Ni 2.61-2.64
As: 0.3826 0.0000 0.7486  4 Ni 2.50-2.64
As: 0.5049 0.5000 0.4964  4 Ni 2.48-2.59
As: 0.6275 0.0000 0.2523  4 Ni 2.49-2.53
As: 0.7514 0.5000 0.9992  4 Ni 2.65-2.67
As: 0.8664 0.0000 0.7429  4 Ni 2.52-2.69
As: 0.9890 0.5000 0.4938  4 Ni 2.56-2.82

**Energy**: -6.49 eV per atom
**SG**: No. 6
**Calculated volume**: 17.8 Å³ per atom


Entry 8:
Here is a geometry-optimized ScZnNiAs structure from OQMD via LeMat-Bulk. Energies are from PBE.

abc: 4.4832 4.4832 4.4832
angles: 60.00 60.00 60.00
Last column: nearest neighbours and their distance in Å.
Element x y z (fractional)
Sc: 0.0000 0.0000 0.0000  4 As 2.75, 4 Ni 2.75
Zn: 0.5000 0.5000 0.5000  4 As 2.75, 4 Ni 2.75
Ni: 0.7500 0.7500 0.7500  4 Zn 2.75, 4 Sc 2.75
As: 0.2500 0.2500 0.2500  4 Zn 2.75, 4 Sc 2.75

**Energy**: -4.79 eV per atom
**SG**: No. 216
**Excess energy over the best structure of this formula in the dataset**: 0.037 eV per atom
**Calculated volume**: 15.9 Å³ per atom


> energy of number 5 (ScTcNiAs)?

-6.96 eV per atom


> What is the energy in the seventh record?

-6.49 eV per atom


> Which formula does entry 1 have?

Sc2Ni2SbAs


> Which value of energy does entry 1 give?

-6.26 eV per atom